VASP calculation (PBE) on an optimized crystal structure of Pt5C.

As for the offset from the most stable computed form: 0.146 eV/atom. The density of states at the Fermi level comes out at 9.4 states/eV per cell. For the uncorrected energy, the calculation gives -6.00 eV/atom.

The structure belongs to space group Cmmm (No. 65); the cell edges are 2.794, 14.277 and 4.682 Å and the angles 90.00°, 90.00° and 90.00°. Symmetry generates all atoms from Pt at (0.000, 0.000, 0.000), Pt at (0.000, 0.108, 0.500), Pt at (0.000, 0.329, 0.000) and C at (0.000, 0.500, 0.500).